Record 1
Here is Tm2Tc3Os after structural relaxation from the Alexandria database. Energies are from PBE-GGA.

a b c (Å): 5.265 5.265 5.440
angles (deg): 90.27 118.73 119.89
Positions (direct):
Tc 0.500 0.000 0.500
Tc 0.500 0.500 0.500
Os 0.000 0.000 0.000
Tm 0.749 0.375 0.124
Tm 0.251 0.625 0.876
Tc 0.000 0.000 0.500



Record 2
Here is Tm2TcOs3 after structural relaxation from the Alexandria database. Energies are from PBE-GGA.

a b c (Å): 5.361 5.361 8.613
angles (deg): 90.00 90.00 120.00
Positions (direct):
Tc 0.000 0.000 0.000
Os 0.173 0.346 0.250
Tm 0.333 0.667 0.934
Os 0.827 0.654 0.750
Os 0.173 0.827 0.250
Tc 0.000 0.000 0.500
Tm 0.667 0.333 0.434
Tm 0.333 0.667 0.566
Os 0.827 0.173 0.750
Os 0.654 0.827 0.250
Os 0.346 0.173 0.750
Tm 0.667 0.333 0.066



Record 3
Here is Tm8TcOs2 after structural relaxation from the Alexandria database. Energies are from PBE-GGA.

a b c (Å): 4.712 6.870 8.921
angles (deg): 107.18 105.31 90.00
Positions (direct):
Tm 0.668 0.961 0.337
Tm 0.203 0.311 0.406
Tm 0.402 0.538 0.804
Tm 0.030 0.795 0.059
Tm 0.797 0.689 0.594
Os 0.184 0.697 0.369
Tm 0.332 0.039 0.663
Tc 0.500 0.000 0.000
Os 0.816 0.303 0.631
Tm 0.970 0.205 0.941
Tm 0.598 0.462 0.196

* polymorph energy (0 for the lowest one): 0.0 meV/atom



Record 4
Here is TmZrTcOs after structural relaxation from the Alexandria database. Energies are from PBE-GGA.

a b c (Å): 4.707 4.707 4.707
angles (deg): 60.00 60.00 60.00
Positions (direct):
Zr 0.500 0.500 0.500
Tm 0.000 0.000 0.000
Tc 0.750 0.750 0.750
Os 0.250 0.250 0.250



Record 5
Here is UTc2Os after structural relaxation from the Alexandria database. Energies are from PBE-GGA.

a b c (Å): 4.009 4.044 4.044
angles (deg): 90.00 90.00 90.00
Positions (direct):
Tc 0.000 0.500 0.000
Os 0.500 0.000 0.000
Tc 0.000 0.000 0.500
U 0.500 0.500 0.500

* polymorph energy (0 for the lowest one): 0.0 meV/atom



Record 6
Here is U6Tc2Os after structural relaxation from the Alexandria database. Energies are from PBE-GGA.

a b c (Å): 2.786 8.636 8.636
angles (deg): 56.44 71.18 71.18
Positions (direct):
Os 0.000 0.000 0.000
Tc 0.186 0.333 0.333
U 0.836 0.000 0.664
U 0.500 0.664 0.336
Tc 0.814 0.667 0.667
U 0.164 0.336 0.000
U 0.836 0.664 0.000
U 0.164 0.000 0.336
U 0.500 0.336 0.664



Record 7
Here is U3TcOs after structural relaxation from the Alexandria database. Energies are from PBE-GGA.

a b c (Å): 6.340 8.440 7.161
angles (deg): 90.00 90.00 90.00
Positions (direct):
U 0.531 0.303 0.097
U 0.250 0.133 0.306
Os 0.750 0.044 0.304
Tc 0.500 0.500 0.500
U 0.750 0.867 0.694
U 0.469 0.697 0.903
U 0.250 0.367 0.806
Tc 0.000 0.000 0.000
U 0.031 0.803 0.403
U 0.531 0.197 0.597
U 0.469 0.803 0.403
Os 0.750 0.456 0.804
U 0.969 0.197 0.597
Tc 0.000 0.500 0.500
Os 0.250 0.544 0.196
Os 0.250 0.956 0.696
U 0.031 0.697 0.903
U 0.750 0.633 0.194
Tc 0.500 0.000 0.000
U 0.969 0.303 0.097



Record 8
Here is U2Tc3Os after structural relaxation from the Alexandria database. Energies are from PBE-GGA.

a b c (Å): 5.130 5.130 9.374
angles (deg): 90.00 90.00 120.00
Positions (direct):
U 0.667 0.333 0.062
Tc 0.661 0.830 0.250
U 0.333 0.667 0.938
U 0.667 0.333 0.438
Os 0.000 0.000 0.000
Tc 0.339 0.170 0.750
Tc 0.170 0.339 0.250
Tc 0.830 0.661 0.750
Os 0.000 0.000 0.500
U 0.333 0.667 0.562
Tc 0.830 0.170 0.750
Tc 0.170 0.830 0.250



Record 9
Here is U4TcOs after structural relaxation from the Alexandria database. Energies are from PBE-GGA.

a b c (Å): 5.592 5.597 6.913
angles (deg): 64.48 133.73 132.71
Positions (direct):
U 0.343 0.676 0.020
U 0.346 0.173 0.520
U 0.657 0.324 0.980
Os 0.000 0.000 0.000
U 0.654 0.827 0.480
Tc 0.000 0.500 0.500



Record 10
Here is UTc2Os after structural relaxation from the Alexandria database. Energies are from PBE-GGA.

a b c (Å): 4.449 4.449 4.674
angles (deg): 61.58 61.58 60.00
Positions (direct):
U 0.000 0.000 0.000
Os 0.500 0.500 0.500
Tc 0.728 0.728 0.817
Tc 0.272 0.272 0.183

* polymorph energy (0 for the lowest one): 262.3 meV/atom



Record 11
Here is U5TcOs after structural relaxation from the Alexandria database. Energies are from PBE-GGA.

a b c (Å): 5.759 7.080 7.080
angles (deg): 89.77 102.19 102.19
Positions (direct):
Os 0.500 0.000 0.000
U 0.985 0.373 0.192
U 0.750 0.274 0.726
U 0.250 0.726 0.274
U 0.515 0.808 0.627
U 0.827 0.009 0.344
Os 0.000 0.000 0.000
U 0.485 0.192 0.373
U 0.327 0.344 0.009
Tc 0.750 0.600 0.400
U 0.015 0.627 0.808
U 0.673 0.656 0.991
Tc 0.250 0.400 0.600
U 0.173 0.991 0.656



Record 12
Here is U6TcOs2 after structural relaxation from the Alexandria database. Energies are from PBE-GGA.

a b c (Å): 2.764 8.227 8.227
angles (deg): 60.01 90.02 90.02
Positions (direct):
Os 0.145 0.333 0.333
U 0.500 0.665 0.000
U 0.500 0.335 0.665
U 0.500 0.000 0.665
U 0.500 0.335 0.000
Tc 0.000 0.000 0.000
U 0.500 0.665 0.335
U 0.500 0.000 0.335
Os 0.855 0.667 0.667



Energy relative to the elements, record by record: -0.25, -0.35, -0.21, -0.23, -0.06, -0.11, 0.16, -0.03, -0.10, 0.21, 0.04, -0.10 eV/atom